1.
{"formula": "Be2GaSn2", "functional": "PBE", "state": "relaxed", "lattice": [[4.169, 0.000, 0.000], [0.000, 4.169, 0.000], [2.084, 2.084, 5.728]], "species": ["Ga", "Be", "Be", "Sn", "Sn"], "frac_coords": [[0.000, 0.000, 0.000], [0.250, 0.750, 0.500], [0.750, 0.250, 0.500], [0.375, 0.375, 0.250], [0.625, 0.625, 0.750]], "total_magnetization_mub_per_atom": 0.00, "formation_enthalpy_0k_mev_per_atom": 403, "e_tot_ev_per_fu": -16.5}

***

2.
{"formula": "Sr2CaPmTe4", "functional": "PBE", "state": "relaxed", "lattice": [[4.584, 0.000, 0.000], [0.000, 7.977, 0.146], [0.000, -2.782, 7.517]], "species": ["Te", "Te", "Sr", "Te", "Te", "Sr", "Pm", "Ca"], "frac_coords": [[0.000, 0.254, 0.763], [0.500, 0.246, 0.236], [0.500, 0.000, 0.500], [0.500, 0.754, 0.764], [0.000, 0.746, 0.237], [0.000, 0.500, 0.500], [0.500, 0.500, 0.000], [0.000, 0.000, 0.000]], "total_magnetization_mub_per_atom": 0.00, "e_form_raw_kj_per_mol_fu": -1245, "e_tot_ev_per_fu": -35.6}

***

3.
{"formula": "Tm3CuC", "functional": "PBE", "state": "relaxed", "lattice": [[4.768, 0.000, 0.000], [0.000, 4.768, 0.000], [0.000, 0.000, 4.768]], "species": ["Tm", "C", "Cu", "Tm", "Tm"], "frac_coords": [[0.000, 0.500, 0.000], [0.000, 0.000, 0.000], [0.500, 0.500, 0.500], [0.000, 0.000, 0.500], [0.500, 0.000, 0.000]], "total_magnetization_mub_per_atom": 0.06, "formation_enthalpy_0k_mev_per_atom": -138, "e_tot_ev_per_fu": -27.4}

***

4.
{"formula": "SrYCI2", "functional": "PBE", "state": "relaxed", "lattice": [[-5.234, -2.862, -1.190], [0.527, -3.803, 6.827], [-3.072, 4.482, 2.734]], "species": ["Sr", "C", "I", "Y", "I"], "frac_coords": [[0.000, 0.000, 0.000], [0.500, 0.500, 0.500], [0.500, 0.000, 0.000], [0.000, 0.500, 0.000], [0.000, 0.000, 0.500]], "total_magnetization_mub_per_atom": 0.60, "e_form_raw_kj_per_mol_fu": 586, "e_tot_ev_per_fu": -14.4}

***

5.
{"formula": "ZrIn2Mo", "functional": "PBE", "state": "relaxed", "lattice": [[9.791, -0.002, -0.001], [9.239, 3.241, -0.001], [9.239, 1.573, 2.834]], "species": ["In", "Zr", "Mo", "In"], "frac_coords": [[0.002, 0.002, 0.002], [0.762, 0.762, 0.762], [0.495, 0.495, 0.495], [0.240, 0.240, 0.240]], "total_magnetization_mub_per_atom": 0.00, "formation_enthalpy_0k_mev_per_atom": 232, "e_tot_ev_per_fu": -23.9}

***

6.
{"formula": "RbMg2BeCu", "functional": "PBE", "state": "relaxed", "lattice": [[-3.248, -2.726, 5.299], [-4.318, -2.201, -3.779], [3.574, -5.721, -0.752]], "species": ["Mg", "Be", "Cu", "Rb", "Mg"], "frac_coords": [[0.500, 0.000, 0.000], [0.000, 0.500, 0.000], [0.500, 0.500, 0.500], [0.000, 0.000, 0.000], [0.000, 0.000, 0.500]], "total_magnetization_mub_per_atom": 0.00, "formation_enthalpy_0k_mev_per_atom": 1751, "e_tot_ev_per_fu": -3.2}

***

7.
{"formula": "PrMgZnNi", "functional": "PBE", "state": "relaxed", "lattice": [[-2.586, -2.961, -2.821], [2.018, -1.971, -3.931], [0.995, -4.734, -0.093]], "species": ["Pr", "Zn", "Mg", "Ni"], "frac_coords": [[0.000, 0.000, 0.000], [0.250, 0.250, 0.250], [0.500, 0.500, 0.500], [0.750, 0.750, 0.750]], "total_magnetization_mub_per_atom": 0.00, "formation_enthalpy_0k_mev_per_atom": -208, "e_tot_ev_per_fu": -14.3}

***

8.
{"formula": "MnIrSe2", "functional": "PBE", "state": "relaxed", "lattice": [[-4.001, 1.835, -1.242], [-1.397, -0.287, -4.346], [-3.517, -2.711, -1.097]], "species": ["Se", "Se", "Ir", "Mn"], "frac_coords": [[0.000, 0.000, 0.000], [0.750, 0.750, 0.750], [0.500, 0.500, 0.500], [0.250, 0.250, 0.250]], "total_magnetization_mub_per_atom": 0.96, "e_form_raw_kj_per_mol_fu": 226, "e_tot_ev_per_fu": -22.7}